RbTlAsH: optimized geometry, GGA-PBE.

Geometry as POSCAR:
```
RbTlAsH
1.0
4.432 0.000 0.000
-2.216 3.838 0.000
0.000 0.000 20.235
H As Tl Rb
3 3 3 3
direct
0.667 0.333 0.271
0.000 0.000 0.938
0.333 0.667 0.605
0.000 0.000 0.127
0.333 0.667 0.793
0.667 0.333 0.460
0.667 0.333 0.177
0.000 0.000 0.844
0.333 0.667 0.511
0.333 0.667 0.328
0.000 0.000 0.661
0.667 0.333 0.995
```

## Properties
- space-group type = R3m, No. 160
- DFT total energy (eV per atom) = -2.940
- crystal system = trigonal